Below is Y2Mn2Re after structural relaxation, with properties calculated at the PBE-GGA level.

Summary:
E_form, eV/f.u.: 5.867
Total energy, eV/atom: -7.570

Cell lengths 7.7306, 7.7306, 3.0268 Å; angles 90.00, 90.00, 90.00 degrees
Last column: nearest neighbours and their distance in Å.
Element x y z (fractional)
Y 0.1425 0.3575 0.0000  6 Mn 2.55-2.86
Y 0.3575 0.8575 0.0000  6 Mn 2.55-2.86
Y 0.6425 0.1425 0.0000  6 Mn 2.55-2.86
Y 0.8575 0.6425 0.0000  6 Mn 2.55-2.86
Mn 0.1696 0.6696 0.5000  6 Y 2.55-2.86
Mn 0.3304 0.1696 0.5000  6 Y 2.55-2.86
Mn 0.6696 0.8304 0.5000  6 Y 2.55-2.86
Mn 0.8304 0.3304 0.5000  6 Y 2.55-2.86
Re 0.0000 0.0000 0.0000  4 Y 2.98, 2 Re 3.03, 8 Mn 3.25
Re 0.5000 0.5000 0.0000  4 Y 2.98, 2 Re 3.03, 8 Mn 3.25